The following is a PBE-GGA calculation of a relaxed RbLaIr3 crystal, from Alexandria via LeMat-Bulk.

Geometry as POSCAR:
```
RbLaIr3
1.0
5.1474 0.0000 0.0000
0.0000 5.1474 0.0000
0.0000 0.0000 5.1474
Rb La Ir
1 1 3
Cartesian
0.0000 0.0000 0.0000
2.5737 2.5737 2.5737
0.0000 2.5737 2.5737
2.5737 0.0000 2.5737
2.5737 2.5737 0.0000
```

E_tot in eV per atom: -4.94
Polymorph energy (0 for the lowest one) in meV per atom: 0.0
Energy of formation in eV per atom: 1.5512